[1]
## Zr5Sn3S (PBE)

Data for a relaxed Zr5Sn3S crystal.

Computed properties:
- total moment (μB/f.u.) = 0.0
- DFT total energy (eV/atom) = -7.4249
- raw formation energy (eV per atom) = -0.883
- volume (Å³/cell) = 383.2

Cell lengths 8.582, 8.582, 6.007 Å; angles 90.00, 90.00, 120.00 degrees
Element x y z (fractional)
1 Zr 0.667 0.333 0.000
2 Zr 0.333 0.667 0.000
3 Zr 0.333 0.667 0.500
4 Zr 0.667 0.333 0.500
5 Zr 0.749 0.749 0.750
6 Zr 0.251 0.000 0.750
7 Zr 0.000 0.251 0.750
8 Zr 0.251 0.251 0.250
9 Zr 0.749 0.000 0.250
10 Zr 0.000 0.749 0.250
11 Sn 0.400 0.400 0.750
12 Sn 0.600 0.000 0.750
13 Sn 0.000 0.600 0.750
14 Sn 0.600 0.600 0.250
15 Sn 0.400 0.000 0.250
16 Sn 0.000 0.400 0.250
17 S 0.000 0.000 0.000
18 S 0.000 0.000 0.500

---

[2]
## EuTlPt (PBE)

Data for a relaxed EuTlPt crystal.

Computed properties:
- total moment (μB/f.u.) = 7.1
- formation energy (eV per atom) = -0.502
- DFT total energy (eV/atom) = -6.7295
- volume (Å³/cell) = 72.9

Cell lengths 3.656, 3.656, 6.038 Å; angles 107.62, 107.62, 90.00 degrees
Element x y z (fractional)
1 Eu 0.935 0.935 0.869
2 Tl 0.640 0.640 0.279
3 Pt 0.276 0.276 0.552

---

[3]
## TlZnCr2 (PBE)

Data for a relaxed TlZnCr2 crystal.

Computed properties:
- total moment (μB/f.u.) = 7.1
- formation energy (eV per atom) = 0.673
- DFT total energy (eV/atom) = -5.0487
- volume (Å³/cell) = 73.5

Cell lengths 8.828, 8.828, 8.828 Å; angles 20.45, 20.45, 20.45 degrees
Element x y z (fractional)
1 Cr 0.007 0.007 0.007
2 Cr 0.493 0.493 0.493
3 Tl 0.250 0.250 0.250
4 Zn 0.750 0.750 0.750

---

[4]
## KLaBr (PBE)

Data for a relaxed KLaBr crystal.

Computed properties:
- total moment (μB/f.u.) = 0.0
- DFT total energy (eV/atom) = -3.0372
- raw formation energy (eV per atom) = -0.471
- volume (Å³/cell) = 145.9

Cell lengths 5.082, 5.082, 6.521 Å; angles 90.00, 90.00, 120.00 degrees
Element x y z (fractional)
1 Br 0.000 0.000 0.830
2 K 0.667 0.333 0.335
3 La 0.333 0.667 0.835

---

[5]
## Ac6Ni2AgCl3 (PBE)

Data for a relaxed Ac6Ni2AgCl3 crystal.

Computed properties:
- total moment (μB/f.u.) = 0.0
- DFT total energy (eV/atom) = -4.5959
- raw formation energy (eV per atom) = -0.879
- volume (Å³/cell) = 389.2

Cell lengths 4.385, 9.291, 10.200 Å; angles 106.06, 102.41, 90.00 degrees
Element x y z (fractional)
1 Ac 0.334 0.884 0.667
2 Ac 0.677 0.557 0.355
3 Ac 0.666 0.116 0.333
4 Ac 0.016 0.252 0.032
5 Ac 0.984 0.748 0.968
6 Ac 0.323 0.443 0.645
7 Ni 0.831 0.667 0.662
8 Ni 0.169 0.333 0.338
9 Ag 0.500 0.000 0.000
10 Cl 0.500 0.500 0.000
11 Cl 0.843 0.180 0.686
12 Cl 0.157 0.820 0.314

---

[6]
## KCdPb2 (PBE)

Data for a relaxed KCdPb2 crystal.

Computed properties:
- total moment (μB/f.u.) = 0.0
- formation energy (eV per atom) = -0.017
- DFT total energy (eV/atom) = -2.3746
- volume (Å³/cell) = 127.4

Cell lengths 5.648, 5.648, 5.648 Å; angles 60.00, 60.00, 60.00 degrees
Element x y z (fractional)
1 Cd 0.500 0.500 0.500
2 K 0.750 0.750 0.750
3 Pb 0.000 0.000 0.000
4 Pb 0.250 0.250 0.250

---

[7]
## Ce3Ni5Se12 (PBE)

Data for a relaxed Ce3Ni5Se12 crystal.

Computed properties:
- total moment (μB/f.u.) = 0.0
- DFT total energy (eV/atom) = -5.2262
- raw formation energy (eV per atom) = -0.800
- volume (Å³/cell) = 1778.9

Cell lengths 13.221, 13.221, 13.221 Å; angles 109.47, 109.47, 109.47 degrees
Element x y z (fractional)
1 Ni 0.125 0.375 0.250
2 Ni 0.000 0.500 0.000
3 Ni 0.000 0.000 0.000
4 Ni 0.375 0.250 0.125
5 Ni 0.500 0.000 0.500
6 Ni 0.500 0.500 0.000
7 Ni 0.125 0.750 0.375
8 Ni 0.750 0.125 0.875
9 Ni 0.750 0.625 0.375
10 Ni 0.375 0.125 0.750
11 Ni 0.625 0.875 0.250
12 Ni 0.500 0.500 0.500
13 Ni 0.500 0.000 0.000
14 Ni 0.000 0.000 0.500
15 Ni 0.250 0.375 0.625
16 Ni 0.250 0.875 0.125
17 Ni 0.000 0.500 0.500
18 Ni 0.875 0.250 0.625
19 Ni 0.625 0.750 0.875
20 Ni 0.875 0.625 0.750
21 Se 0.702 0.116 0.026
22 Se 0.324 0.526 0.410
23 Se 0.974 0.384 0.298
24 Se 0.526 0.202 0.116
25 Se 0.586 0.702 0.676
26 Se 0.974 0.590 0.176
27 Se 0.324 0.798 0.414
28 Se 0.090 0.914 0.116
29 Se 0.590 0.974 0.676
30 Se 0.702 0.586 0.176
31 Se 0.798 0.474 0.384
32 Se 0.824 0.910 0.026
33 Se 0.116 0.702 0.526
34 Se 0.384 0.410 0.086
35 Se 0.086 0.910 0.384
36 Se 0.414 0.116 0.590
37 Se 0.086 0.176 0.202
38 Se 0.474 0.676 0.090
39 Se 0.824 0.914 0.298
40 Se 0.116 0.414 0.090
41 Se 0.384 0.974 0.798
42 Se 0.590 0.616 0.414
43 Se 0.910 0.824 0.526
44 Se 0.798 0.324 0.914
45 Se 0.410 0.384 0.586
46 Se 0.090 0.176 0.474
47 Se 0.202 0.676 0.086
48 Se 0.176 0.086 0.702
49 Se 0.616 0.026 0.202
50 Se 0.884 0.586 0.910
51 Se 0.526 0.324 0.910
52 Se 0.586 0.884 0.410
53 Se 0.914 0.824 0.798
54 Se 0.914 0.090 0.616
55 Se 0.884 0.298 0.474
56 Se 0.176 0.090 0.974
57 Se 0.616 0.590 0.914
58 Se 0.410 0.026 0.324
59 Se 0.298 0.414 0.824
60 Se 0.202 0.526 0.616
61 Se 0.910 0.086 0.884
62 Se 0.676 0.202 0.586
63 Se 0.474 0.798 0.884
64 Se 0.026 0.410 0.824
65 Se 0.414 0.298 0.324
66 Se 0.026 0.616 0.702
67 Se 0.676 0.474 0.590
68 Se 0.298 0.884 0.974
69 Ce 0.750 0.375 0.125
70 Ce 0.875 0.750 0.125
71 Ce 0.375 0.750 0.625
72 Ce 0.250 0.125 0.375
73 Ce 0.875 0.125 0.250
74 Ce 0.375 0.625 0.250
75 Ce 0.625 0.375 0.750
76 Ce 0.125 0.875 0.750
77 Ce 0.750 0.875 0.625
78 Ce 0.625 0.250 0.375
79 Ce 0.125 0.250 0.875
80 Ce 0.250 0.625 0.875

---

[8]
## BeReNF2 (PBE)

Data for a relaxed BeReNF2 crystal.

Computed properties:
- total moment (μB/f.u.) = 1.2
- DFT total energy (eV/atom) = -6.6384
- raw formation energy (eV per atom) = -0.990
- volume (Å³/cell) = 67.4

Cell lengths 3.023, 3.023, 7.379 Å; angles 90.00, 90.00, 90.00 degrees
Element x y z (fractional)
1 Re 0.500 0.500 0.500
2 N 0.000 0.000 0.500
3 Be 0.000 0.000 0.000
4 F 0.000 0.500 0.000
5 F 0.500 0.000 0.000

---

[9]
## CuMoAs2 (PBE)

Data for a relaxed CuMoAs2 crystal.

Computed properties:
- total moment (μB/f.u.) = 0.0
- formation energy (eV per atom) = 0.179
- DFT total energy (eV/atom) = -5.8779
- volume (Å³/cell) = 64.6

Cell lengths 4.493, 4.493, 4.957 Å; angles 84.28, 84.28, 40.51 degrees
Element x y z (fractional)
1 As 0.975 0.975 0.026
2 As 0.525 0.525 0.474
3 Cu 0.750 0.750 0.750
4 Mo 0.250 0.250 0.250

---

[10]
## MnTe4Pb (PBE)

Data for a relaxed MnTe4Pb crystal.

Computed properties:
- total moment (μB/f.u.) = 4.8
- DFT total energy (eV/atom) = -3.6855
- raw formation energy (eV per atom) = 0.555
- volume (Å³/cell) = 184.0

Cell lengths 6.385, 6.385, 6.385 Å; angles 60.00, 60.00, 60.00 degrees
Element x y z (fractional)
1 Mn 0.750 0.750 0.750
2 Te 0.873 0.376 0.376
3 Te 0.376 0.376 0.873
4 Te 0.376 0.873 0.376
5 Te 0.376 0.376 0.376
6 Pb 0.000 0.000 0.000

---

[11]
## BaZrAsO5 (PBE)

Data for a relaxed BaZrAsO5 crystal.

Computed properties:
- total moment (μB/f.u.) = 0.0
- DFT total energy (eV/atom) = -7.3431
- raw formation energy (eV per atom) = -2.354
- volume (Å³/cell) = 262.0

Cell lengths 6.164, 6.164, 7.909 Å; angles 104.75, 104.75, 105.83 degrees
Element x y z (fractional)
1 Ba 0.326 0.674 0.250
2 Ba 0.674 0.326 0.750
3 Zr 0.000 0.000 0.500
4 Zr 0.000 0.000 0.000
5 As 0.687 0.313 0.250
6 As 0.313 0.687 0.750
7 O 0.058 0.942 0.250
8 O 0.942 0.058 0.750
9 O 0.886 0.298 0.102
10 O 0.114 0.702 0.898
11 O 0.702 0.114 0.398
12 O 0.298 0.886 0.602
13 O 0.759 0.622 0.398
14 O 0.241 0.378 0.602
15 O 0.378 0.241 0.102
16 O 0.622 0.759 0.898

---

[12]
## ReC (PBE)

Data for a relaxed ReC crystal.

Computed properties:
- total moment (μB/f.u.) = 0.0
- formation energy (eV per atom) = 0.686
- DFT total energy (eV/atom) = -10.1499
- volume (Å³/cell) = 48.1

Cell lengths 2.996, 2.996, 6.184 Å; angles 90.00, 90.00, 120.00 degrees
Element x y z (fractional)
1 Re 0.333 0.667 0.703
2 Re 0.667 0.333 0.203
3 C 0.333 0.667 0.379
4 C 0.667 0.333 0.879

---

[13]
## YScHgBi (PBE)

Data for a relaxed YScHgBi crystal.

Computed properties:
- total moment (μB/f.u.) = 0.0
- formation energy (eV per atom) = -0.435
- DFT total energy (eV/atom) = -4.6798
- volume (Å³/cell) = 103.1

Cell lengths 5.264, 5.264, 5.264 Å; angles 60.00, 60.00, 60.00 degrees
Element x y z (fractional)
1 Y 0.250 0.250 0.250
2 Sc 0.750 0.750 0.750
3 Bi 0.500 0.500 0.500
4 Hg 0.000 0.000 0.000

---

[14]
## KMn2Au (PBE)

Data for a relaxed KMn2Au crystal.

Computed properties:
- total moment (μB/f.u.) = 8.1
- formation energy (eV per atom) = 0.737
- DFT total energy (eV/atom) = -4.9419
- volume (Å³/cell) = 83.4

Cell lengths 3.031, 5.256, 5.233 Å; angles 90.00, 90.00, 90.00 degrees
Element x y z (fractional)
1 Au 0.500 0.000 0.500
2 K 0.000 0.500 0.500
3 Mn 0.000 0.000 0.000
4 Mn 0.500 0.500 0.000

---

[15]
## BeIr2Pd (PBE)

Data for a relaxed BeIr2Pd crystal.

Computed properties:
- total moment (μB/f.u.) = 0.0
- formation energy (eV per atom) = 0.385
- DFT total energy (eV/atom) = -6.2748
- volume (Å³/cell) = 119.0

Cell lengths 3.653, 3.653, 9.287 Å; angles 78.66, 78.66, 90.00 degrees
Element x y z (fractional)
1 Be 0.500 0.500 0.000
2 Be 0.250 0.750 0.500
3 Ir 0.609 0.125 0.250
4 Ir 0.141 0.625 0.250
5 Ir 0.375 0.391 0.750
6 Ir 0.875 0.859 0.750
7 Pd 0.000 0.000 0.000
8 Pd 0.750 0.250 0.500

---

[16]
## Fe3CoRh2 (PBE)

Data for a relaxed Fe3CoRh2 crystal.

Computed properties:
- total moment (μB/f.u.) = 12.8
- formation energy (eV per atom) = -0.040
- DFT total energy (eV/atom) = -7.9060
- volume (Å³/cell) = 155.3

Cell lengths 4.195, 6.632, 5.884 Å; angles 90.00, 90.00, 71.56 degrees
Element x y z (fractional)
1 Fe 0.829 0.342 0.765
2 Fe 0.500 0.000 0.243
3 Fe 0.171 0.658 0.235
4 Fe 0.829 0.342 0.235
5 Fe 0.171 0.658 0.765
6 Fe 0.500 0.000 0.757
7 Co 0.335 0.330 0.000
8 Co 0.665 0.670 0.000
9 Rh 0.000 0.000 0.000
10 Rh 0.000 0.000 0.500
11 Rh 0.334 0.332 0.500
12 Rh 0.666 0.668 0.500

---

[17]
## ZrCd3H (PBE)

Data for a relaxed ZrCd3H crystal.

Computed properties:
- total moment (μB/f.u.) = 2.1
- DFT total energy (eV/atom) = -1.7038
- volume (Å³/cell) = 195.6

Cell lengths 5.805, 5.805, 5.805 Å; angles 90.00, 90.00, 90.00 degrees
Element x y z (fractional)
1 H 0.500 0.500 0.500
2 Zr 0.000 0.000 0.000
3 Cd 0.000 0.500 0.000
4 Cd 0.000 0.000 0.500
5 Cd 0.500 0.000 0.000

---

[18]
## CdPRh2 (PBE)

Data for a relaxed CdPRh2 crystal.

Computed properties:
- total moment (μB/f.u.) = 0.0
- formation energy (eV per atom) = -0.037
- DFT total energy (eV/atom) = -5.2944
- volume (Å³/cell) = 60.4

Cell lengths 4.544, 4.544, 4.544 Å; angles 125.16, 125.16, 81.27 degrees
Element x y z (fractional)
1 Cd 0.500 0.500 0.000
2 P 0.000 0.000 0.000
3 Rh 0.750 0.250 0.500
4 Rh 0.250 0.750 0.500

---

[19]
## LaZrNi2 (PBE)

Data for a relaxed LaZrNi2 crystal.

Computed properties:
- total moment (μB/f.u.) = 0.0
- formation energy (eV per atom) = -0.187
- DFT total energy (eV/atom) = -6.4470
- volume (Å³/cell) = 76.0

Cell lengths 7.584, 4.860, 3.218 Å; angles 89.94, 64.98, 129.81 degrees
Element x y z (fractional)
1 La 0.500 0.500 0.000
2 Ni 0.000 0.000 0.000
3 Ni 0.500 0.000 0.500
4 Zr 0.000 0.500 0.500

---

[20]
## LaHAu3 (PBE)

Data for a relaxed LaHAu3 crystal.

Computed properties:
- total moment (μB/f.u.) = 0.0
- DFT total energy (eV/atom) = -3.7783
- volume (Å³/cell) = 94.3

Cell lengths 4.551, 4.551, 4.551 Å; angles 90.00, 90.00, 90.00 degrees
Element x y z (fractional)
1 H 0.000 0.000 0.000
2 Au 0.000 0.500 0.000
3 Au 0.000 0.000 0.500
4 Au 0.500 0.000 0.000
5 La 0.500 0.500 0.500